# 1
Material: Ac3Ga2Pd9
Method: DFT, PBE-GGA
State: relaxed

Computed properties:
For the total energy, the calculation gives -75.22 eV for the cell shown. The calculation puts the density of states at the Fermi level at 7.4 states/eV per cell.

a b c (Å): 8.583 8.583 8.583
angles (deg): 151.23 103.53 83.65
Fractional coordinates of all 14 atoms:
Ac 0.000 0.000 0.000
Ac 0.318 0.318 0.000
Ac 0.682 0.682 0.000
Ga 0.259 0.500 0.759
Ga 0.741 0.500 0.241
Pd 0.043 0.674 0.368
Pd 0.167 0.886 0.281
Pd 0.306 0.674 0.632
Pd 0.396 0.114 0.281
Pd 0.500 0.000 0.500
Pd 0.604 0.886 0.719
Pd 0.694 0.326 0.368
Pd 0.833 0.114 0.719
Pd 0.957 0.326 0.632

***

# 2
Material: Ac3Ga9Pd2
Method: DFT, PBE-GGA
State: relaxed

Computed properties:
For the total energy, the calculation gives -58.36 eV for the cell shown. The calculation puts the density of states at the Fermi level at 5.0 states/eV per cell.

a b c (Å): 8.609 8.609 8.609
angles (deg): 149.41 109.03 79.23
Fractional coordinates of all 14 atoms:
Ac 0.000 0.000 0.000
Ac 0.314 0.314 0.000
Ac 0.686 0.686 0.000
Ga 0.028 0.663 0.365
Ga 0.141 0.865 0.276
Ga 0.298 0.663 0.635
Ga 0.410 0.135 0.276
Ga 0.500 0.000 0.500
Ga 0.590 0.865 0.724
Ga 0.702 0.337 0.365
Ga 0.859 0.135 0.724
Ga 0.972 0.337 0.635
Pd 0.282 0.500 0.782
Pd 0.718 0.500 0.218

***

# 3
Material: Ac2GaPd2
Method: DFT, PBE-GGA
State: relaxed

Computed properties:
For the total energy, the calculation gives -25.41 eV for the cell shown. As for the relative energy among the computed polymorphs: 0.052 eV per formula unit. The calculation puts the density of states at the Fermi level at 3.2 states/eV per cell.

a b c (Å): 5.947 5.947 5.947
angles (deg): 134.54 119.77 78.58
Fractional coordinates of all 5 atoms:
Ac 0.201 0.201 0.000
Ac 0.799 0.799 0.000
Ga 0.500 0.000 0.500
Pd 0.242 0.500 0.742
Pd 0.758 0.500 0.258

***

# 4
Material: Ac3Ga6Pd5
Method: DFT, PBE-GGA
State: relaxed

Computed properties:
For the total energy, the calculation gives -133.78 eV for the cell shown. The calculation puts the density of states at the Fermi level at 14.9 states/eV per cell.

a b c (Å): 4.446 13.179 9.983
angles (deg): 90.00 90.00 90.00
Fractional coordinates of all 28 atoms:
Ac 0.250 0.063 0.247
Ac 0.250 0.437 0.247
Ac 0.250 0.750 0.260
Ac 0.750 0.250 0.740
Ac 0.750 0.563 0.753
Ac 0.750 0.937 0.753
Ga 0.250 0.067 0.587
Ga 0.250 0.250 0.024
Ga 0.250 0.250 0.452
Ga 0.250 0.433 0.587
Ga 0.250 0.600 0.989
Ga 0.250 0.900 0.989
Ga 0.750 0.100 0.011
Ga 0.750 0.400 0.011
Ga 0.750 0.567 0.413
Ga 0.750 0.750 0.548
Ga 0.750 0.750 0.976
Ga 0.750 0.933 0.413
Pd 0.250 0.091 0.864
Pd 0.250 0.409 0.864
Pd 0.250 0.638 0.537
Pd 0.250 0.750 0.805
Pd 0.250 0.862 0.537
Pd 0.750 0.138 0.463
Pd 0.750 0.250 0.195
Pd 0.750 0.362 0.463
Pd 0.750 0.591 0.136
Pd 0.750 0.909 0.136

***

# 5
Material: Ac2GaPd
Method: DFT, PBE-GGA
State: relaxed

Computed properties:
For the total energy, the calculation gives -18.75 eV for the cell shown. The calculation puts the density of states at the Fermi level at 2.2 states/eV per cell.

a b c (Å): 3.834 3.834 7.882
angles (deg): 90.00 90.00 90.00
Fractional coordinates of all 4 atoms:
Ac 0.000 0.000 0.237
Ac 0.000 0.000 0.763
Ga 0.500 0.500 0.500
Pd 0.500 0.500 0.000

***

# 6
Material: AcGa3Pd5
Method: DFT, PBE-GGA
State: relaxed

Computed properties:
For the total energy, the calculation gives -90.86 eV for the cell shown. The calculation puts the density of states at the Fermi level at 8.1 states/eV per cell.

a b c (Å): 6.836 6.836 13.028
angles (deg): 90.00 90.00 145.83
Fractional coordinates of all 18 atoms:
Ac 0.157 0.843 0.750
Ac 0.843 0.157 0.250
Ga 0.112 0.888 0.250
Ga 0.380 0.620 0.035
Ga 0.380 0.620 0.465
Ga 0.620 0.380 0.535
Ga 0.620 0.380 0.965
Ga 0.888 0.112 0.750
Pd 0.000 0.000 0.000
Pd 0.000 0.000 0.500
Pd 0.198 0.802 0.074
Pd 0.198 0.802 0.426
Pd 0.456 0.544 0.646
Pd 0.456 0.544 0.854
Pd 0.544 0.456 0.146
Pd 0.544 0.456 0.354
Pd 0.802 0.198 0.574
Pd 0.802 0.198 0.926